DFT (GGA-PBE) results for a geometry-optimized Tm2Ga4Ir structure.

abc: 4.7840 4.7840 14.5895
angles: 90.00 90.00 90.00
Space group I4/mmm (No. 139)
Unique sites:
Tm 0.0000 0.0000 0.1790
Ga 0.0000 0.0000 0.3808
Ga 0.0000 0.5000 0.0000
Ir 0.0000 0.0000 0.0000

Total magnetization, μB/atom: 0.000
ΔH_f (0 K), kcal/mol of atoms: -4.2
DOS(E_F), states/eV/cell: 10.94
V, Å³ per cell: 333.9

=====

DFT (GGA-PBE) results for a geometry-optimized LiCr3Se structure.

abc: 4.8831 4.8831 4.8831
angles: 90.00 90.00 90.00
Space group Pm-3m (No. 221)
Unique sites:
Li 0.0000 0.0000 0.0000
Cr 0.0000 0.5000 0.5000
Se 0.5000 0.5000 0.5000

Energy relative to the elements, uncorrected, eV per atom: 0.788
Distance to the lowest polymorph of the same formula, eV per formula unit: 0.00
Total magnetization, μB/atom: 2.557
DOS(E_F), states/eV/cell: 4.25
V, Å³ per cell: 116.4

=====

DFT (GGA-PBE) results for a geometry-optimized BaCaMg2Cl8 structure.

abc: 6.6269 6.6269 9.3145
angles: 90.00 90.00 120.00
Space group P-3 (No. 147)
Unique sites:
Ba 0.0000 0.0000 0.0000
Ca 0.0000 0.0000 0.5000
Mg 0.3333 0.6667 0.7566
Cl 0.0042 0.3102 0.6950
Cl 0.3333 0.6667 0.0047

Energy relative to the elements, uncorrected, eV per atom: -2.063
Total magnetization, μB/atom: 0.000
DOS(E_F), states/eV/cell: 0.00
V, Å³ per cell: 354.2